[1]
Compound: MgTcSb
Source: Alexandria via LeMat-Bulk
Functional: PBE
Structure: relaxed

The structure in CIF format:
```
data_MgTcSb
_chemical_formula_sum 'Mg1 Tc1 Sb1'
_cell_length_a 3.225
_cell_length_b 3.225
_cell_length_c 6.750
_cell_angle_alpha 90.00
_cell_angle_beta 90.00
_cell_angle_gamma 120.00
_space_group_name_H-M_alt 'P 1'
_space_group_IT_number 1
_space_group_name_Hall 'P 1'
loop_
_atom_site_label
_atom_site_type_symbol
_atom_site_fract_x
_atom_site_fract_y
_atom_site_fract_z
_atom_site_occupancy
Mg1 Mg 0.000 0.000 0.000 1
Tc1 Tc 0.333 0.667 0.689 1
Sb1 Sb 0.667 0.333 0.406 1
```

Properties
DFT total energy	-5.206	eV per atom
V	20.264	Å³/atom
total magnetization	0.21	Bohr magnetons per cell
raw formation energy	155	meV per atom
E above lowest polymorph	0.293	eV/atom


[2]
Compound: KBaAl3Si5O16
Source: Alexandria via LeMat-Bulk
Functional: PBE
Structure: relaxed

The structure in CIF format:
```
data_KBaAl3Si5O16
_chemical_formula_sum 'K1 Ba1 Al3 Si5 O16'
_cell_length_a 7.306
_cell_length_b 7.888
_cell_length_c 7.936
_cell_angle_alpha 112.99
_cell_angle_beta 103.86
_cell_angle_gamma 103.75
_space_group_name_H-M_alt 'P 1'
_space_group_IT_number 1
_space_group_name_Hall 'P 1'
loop_
_atom_site_label
_atom_site_type_symbol
_atom_site_fract_x
_atom_site_fract_y
_atom_site_fract_z
_atom_site_occupancy
K1 K 0.000 0.000 0.000 1
Ba1 Ba 0.261 0.563 0.569 1
Al1 Al 0.346 0.483 0.105 1
Al2 Al 0.349 0.116 0.475 1
Al3 Al 0.774 0.465 0.690 1
Si1 Si 0.470 0.878 0.105 1
Si2 Si 0.471 0.118 0.871 1
Si3 Si 0.778 0.698 0.453 1
Si4 Si 0.894 0.090 0.442 1
Si5 Si 0.899 0.464 0.087 1
O1 O 0.109 0.136 0.412 1
O2 O 0.116 0.436 0.149 1
O3 O 0.349 0.251 0.963 1
O4 O 0.357 0.974 0.245 1
O5 O 0.381 0.637 0.995 1
O6 O 0.390 0.008 0.632 1
O7 O 0.427 0.925 0.915 1
O8 O 0.511 0.364 0.595 1
O9 O 0.532 0.605 0.347 1
O10 O 0.718 0.974 0.218 1
O11 O 0.719 0.240 0.976 1
O12 O 0.858 0.668 0.645 1
O13 O 0.865 0.940 0.539 1
O14 O 0.879 0.568 0.948 1
O15 O 0.887 0.598 0.301 1
O16 O 0.889 0.302 0.579 1
```

Properties
DFT total energy	-7.554	eV per atom
V	14.603	Å³/atom
total magnetization	0.00	Bohr magnetons per cell
raw formation energy	-2912	meV per atom


[3]
Compound: LaCoPb2
Source: Alexandria via LeMat-Bulk
Functional: PBE
Structure: relaxed

The structure in CIF format:
```
data_LaCoPb2
_chemical_formula_sum 'La1 Co1 Pb2'
_cell_length_a 5.217
_cell_length_b 5.217
_cell_length_c 5.217
_cell_angle_alpha 60.00
_cell_angle_beta 60.00
_cell_angle_gamma 60.00
_space_group_name_H-M_alt 'P 1'
_space_group_IT_number 1
_space_group_name_Hall 'P 1'
loop_
_atom_site_label
_atom_site_type_symbol
_atom_site_fract_x
_atom_site_fract_y
_atom_site_fract_z
_atom_site_occupancy
La1 La 0.000 0.000 0.000 1
Co1 Co 0.750 0.750 0.750 1
Pb1 Pb 0.250 0.250 0.250 1
Pb2 Pb 0.500 0.500 0.500 1
```

Properties
DFT total energy	-4.716	eV per atom
V	25.099	Å³/atom
total magnetization	0.00	Bohr magnetons per cell
E above lowest polymorph	0.322	eV/atom
formation energy from the elements	0.147	eV per atom


[4]
Compound: HRh3O
Source: Alexandria via LeMat-Bulk
Functional: PBE
Structure: relaxed

The structure in CIF format:
```
data_HRh3O
_chemical_formula_sum 'H1 Rh3 O1'
_cell_length_a 3.853
_cell_length_b 3.853
_cell_length_c 3.853
_cell_angle_alpha 90.00
_cell_angle_beta 90.00
_cell_angle_gamma 90.00
_space_group_name_H-M_alt 'P 1'
_space_group_IT_number 1
_space_group_name_Hall 'P 1'
loop_
_atom_site_label
_atom_site_type_symbol
_atom_site_fract_x
_atom_site_fract_y
_atom_site_fract_z
_atom_site_occupancy
H1 H 0.000 0.000 0.000 1
Rh1 Rh 0.000 0.000 0.500 1
Rh2 Rh 0.000 0.500 0.000 1
Rh3 Rh 0.500 0.000 0.000 1
O1 O 0.500 0.500 0.500 1
```

Properties
DFT total energy	-5.439	eV per atom
V	11.441	Å³/atom
total magnetization	2.01	Bohr magnetons per cell
E above lowest polymorph	0.000	eV/atom


Which of these has the highest V?
LaCoPb2


Which of these has the highest V?
LaCoPb2


Look up the DFT total energy of the fourth one.
-5.439 eV per atom


What is the formula in the second record?
KBaAl3Si5O16